Computed, not measured: a crystal of FeAuCl2 relaxed with PBEsol at the SCAN level of DFT.

Computed properties:
**SG**: No. 139
**Final energy**: -25.609 eV per atom
**Calculated volume**: 67.8 Å³/f.u.

Lattice parameters (Å, degrees): 4.619 4.619 4.619 121.67 121.67 87.13
Positions (direct):
Fe1 0.000 0.000 0.000
Au1 0.500 0.500 0.000
Cl1 0.250 0.750 0.500
Cl2 0.750 0.250 0.500



Computed, not measured: a crystal of BaLiY relaxed with PBEsol at the SCAN level of DFT.

Computed properties:
**SG**: No. 216
**Calculated volume**: 114.3 Å³/f.u.
**E_form**: 0.92 eV/atom

Lattice parameters (Å, degrees): 5.447 5.447 5.447 60.00 60.00 60.00
Positions (direct):
Ba1 0.000 0.000 0.000
Li1 0.250 0.250 0.250
Y1 0.750 0.750 0.750



Computed, not measured: a crystal of Ag2PtAu relaxed with PBEsol at the SCAN level of DFT.

Computed properties:
**SG**: No. 119
**Calculated volume**: 64.5 Å³/f.u.
**E_form**: 0.00 eV/atom

Lattice parameters (Å, degrees): 4.850 4.850 4.850 130.49 130.49 72.63
Positions (direct):
Ag1 0.000 0.000 0.000
Ag2 0.750 0.250 0.500
Pt1 0.250 0.750 0.500
Au1 0.500 0.500 0.000



Computed, not measured: a crystal of KTi3Tc relaxed with PBEsol at the SCAN level of DFT.

Computed properties:
**SG**: No. 221
**Calculated volume**: 112.8 Å³/f.u.
**E_form**: 0.64 eV/atom

Lattice parameters (Å, degrees): 4.832 4.832 4.832 90.00 90.00 90.00
Positions (direct):
K1 0.000 0.000 0.000
Ti1 0.000 0.500 0.500
Ti2 0.500 0.000 0.500
Ti3 0.500 0.500 0.000
Tc1 0.500 0.500 0.500



Computed, not measured: a crystal of TbSiRu2C relaxed with PBEsol at the SCAN level of DFT.

Computed properties:
**SG**: No. 63
**Final energy**: -28.009 eV per atom
**Calculated volume**: 73.6 Å³/f.u.

Lattice parameters (Å, degrees): 5.812 5.812 7.067 90.00 90.00 141.92
Positions (direct):
Tb1 0.048 0.952 0.750
Tb2 0.952 0.048 0.250
Si1 0.230 0.770 0.250
Si2 0.770 0.230 0.750
Ru1 0.335 0.665 0.558
Ru2 0.335 0.665 0.942
Ru3 0.665 0.335 0.058
Ru4 0.665 0.335 0.442
C1 0.500 0.500 0.000
C2 0.500 0.500 0.500



Computed, not measured: a crystal of AgSbTe3 relaxed with PBEsol at the SCAN level of DFT.

Computed properties:
**SG**: No. 221
**Final energy**: -35.517 eV per atom
**Calculated volume**: 148.1 Å³/f.u.

Lattice parameters (Å, degrees): 5.291 5.291 5.291 90.00 90.00 90.00
Positions (direct):
Ag1 0.000 0.000 0.000
Sb1 0.500 0.500 0.500
Te1 0.000 0.000 0.500
Te2 0.000 0.500 0.000
Te3 0.500 0.000 0.000



The highest calculated volume belongs to which entry? AgSbTe3